(1)
This record from Alexandria describes a geometry-optimized KTbPO4 structure. The functional is PBE.

Properties
Energy relative to the elements, uncorrected: -2311 meV/atom

Structure (CIF):
```
data_KTbPO4
_chemical_formula_sum 'K4 Tb4 P4 O16'
_cell_length_a 8.5945
_cell_length_b 8.5945
_cell_length_c 8.5945
_cell_angle_alpha 90.00
_cell_angle_beta 90.00
_cell_angle_gamma 90.00
_space_group_name_H-M_alt 'F -4 3 m'
_space_group_IT_number 216
_space_group_name_Hall 'F -4 2 3'
loop_
_atom_site_label
_atom_site_type_symbol
_atom_site_fract_x
_atom_site_fract_y
_atom_site_fract_z
K1 K 0.0000 0.0000 0.0000
Tb1 Tb 0.2500 0.2500 0.2500
P1 P 0.0000 0.0000 0.5000
O1 O 0.1046 0.1046 0.3954
```


(2)
This record from Alexandria describes a geometry-optimized KTbP4O12 structure. The functional is PBE.

Properties
Energy relative to the elements, uncorrected: -2455 meV/atom

Structure (CIF):
```
data_KTbP4O12
_chemical_formula_sum 'K2 Tb2 P8 O24'
_cell_length_a 7.3555
_cell_length_b 8.4478
_cell_length_c 7.9753
_cell_angle_alpha 90.00
_cell_angle_beta 91.50
_cell_angle_gamma 90.00
_space_group_name_H-M_alt 'P 1 21 1'
_space_group_IT_number 4
loop_
_space_group_symop_operation_xyz
'x,y,z'
'-x,y+1/2,-z'
loop_
_atom_site_label
_atom_site_type_symbol
_atom_site_fract_x
_atom_site_fract_y
_atom_site_fract_z
K1 K 0.2328 0.0000 0.2833
Tb1 Tb 0.2615 0.3117 0.7577
P1 P 0.0660 0.9379 0.9079
P2 P 0.1134 0.5604 0.3975
P3 P 0.4023 0.7308 0.9008
P4 P 0.4952 0.4638 0.3818
O1 O 0.0240 0.7146 0.3533
O2 O 0.0351 0.4225 0.2738
O3 O 0.0681 0.4080 0.9571
O4 O 0.1082 0.5010 0.5742
O5 O 0.1791 0.0845 0.9281
O6 O 0.1922 0.7829 0.8925
O7 O 0.3209 0.5733 0.3391
O8 O 0.3397 0.0682 0.6171
O9 O 0.4093 0.5676 0.8283
O10 O 0.4649 0.3678 0.5372
O11 O 0.4806 0.7618 0.0735
O12 O 0.4902 0.3499 0.2209
```


(3)
This record from Alexandria describes a geometry-optimized K2TcPO structure. The functional is PBE.

Properties
Energy relative to the elements, uncorrected: 29 meV/atom

Structure (CIF):
```
data_K2TcPO
_chemical_formula_sum 'K2 Tc1 P1 O1'
_cell_length_a 5.5460
_cell_length_b 5.5460
_cell_length_c 3.8031
_cell_angle_alpha 90.00
_cell_angle_beta 90.00
_cell_angle_gamma 90.00
_space_group_name_H-M_alt 'P 4/m m m'
_space_group_IT_number 123
_space_group_name_Hall '-P 4 2'
loop_
_atom_site_label
_atom_site_type_symbol
_atom_site_fract_x
_atom_site_fract_y
_atom_site_fract_z
K1 K 0.0000 0.5000 0.0000
Tc1 Tc 0.0000 0.0000 0.5000
P1 P 0.5000 0.5000 0.5000
O1 O 0.0000 0.0000 0.0000
```


(4)
This record from Alexandria describes a geometry-optimized K2TcPO6 structure. The functional is PBE.

Properties
Energy relative to the elements, uncorrected: -1456 meV/atom

Structure (CIF):
```
data_K2TcPO6
_chemical_formula_sum 'K8 Tc4 P4 O24'
_cell_length_a 7.5304
_cell_length_b 7.5304
_cell_length_c 7.5304
_cell_angle_alpha 90.00
_cell_angle_beta 90.00
_cell_angle_gamma 90.00
_space_group_name_H-M_alt 'F m -3 m'
_space_group_IT_number 225
_space_group_name_Hall '-F 4 2 3'
loop_
_atom_site_label
_atom_site_type_symbol
_atom_site_fract_x
_atom_site_fract_y
_atom_site_fract_z
K1 K 0.2500 0.2500 0.2500
Tc1 Tc 0.0000 0.0000 0.0000
P1 P 0.0000 0.0000 0.5000
O1 O 0.0000 0.0000 0.2686
```


(5)
This record from Alexandria describes a geometry-optimized KTeP2O8 structure. The functional is PBE.

Properties
Energy relative to the elements, uncorrected: -1790 meV/atom

Structure (CIF):
```
data_KTeP2O8
_chemical_formula_sum 'K1 Te1 P2 O8'
_cell_length_a 4.9363
_cell_length_b 4.9363
_cell_length_c 8.7761
_cell_angle_alpha 90.00
_cell_angle_beta 90.00
_cell_angle_gamma 120.00
_space_group_name_H-M_alt 'P -3'
_space_group_IT_number 147
loop_
_space_group_symop_operation_xyz
'x,y,z'
'-x,-y,-z'
'-y,x-y,z'
'y,-x+y,-z'
'-x+y,-x,z'
'x-y,x,-z'
loop_
_atom_site_label
_atom_site_type_symbol
_atom_site_fract_x
_atom_site_fract_y
_atom_site_fract_z
K1 K 0.0000 0.0000 0.0000
Te1 Te 0.0000 0.0000 0.5000
P1 P 0.3333 0.6667 0.7104
O1 O 0.0500 0.3552 0.6455
O2 O 0.3333 0.6667 0.8810
```


(6)
This record from Alexandria describes a geometry-optimized KTeP2O structure. The functional is PBE.

Properties
Energy relative to the elements, uncorrected: 1454 meV/atom
ΔE to the lowest computed polymorph: 1.207 eV per atom

Structure (CIF):
```
data_KTeP2O
_chemical_formula_sum 'K1 Te1 P2 O1'
_cell_length_a 5.4748
_cell_length_b 5.4748
_cell_length_c 4.1017
_cell_angle_alpha 90.00
_cell_angle_beta 90.00
_cell_angle_gamma 90.00
_space_group_name_H-M_alt 'P 4/m m m'
_space_group_IT_number 123
_space_group_name_Hall '-P 4 2'
loop_
_atom_site_label
_atom_site_type_symbol
_atom_site_fract_x
_atom_site_fract_y
_atom_site_fract_z
K1 K 0.0000 0.0000 0.0000
Te1 Te 0.5000 0.5000 0.5000
P1 P 0.0000 0.5000 0.0000
O1 O 0.0000 0.0000 0.5000
```


(7)
This record from Alexandria describes a geometry-optimized KTePO6 structure. The functional is PBE.

Properties
Energy relative to the elements, uncorrected: -1537 meV/atom

Structure (CIF):
```
data_KTePO6
_chemical_formula_sum 'K1 Te1 P1 O6'
_cell_length_a 4.9256
_cell_length_b 4.9256
_cell_length_c 6.1098
_cell_angle_alpha 90.00
_cell_angle_beta 90.00
_cell_angle_gamma 120.00
_space_group_name_H-M_alt 'P 3 1 2'
_space_group_IT_number 149
loop_
_space_group_symop_operation_xyz
'x,y,z'
'-y,x-y,z'
'-x+y,-x,z'
'-y,-x,-z'
'-x+y,y,-z'
'x,x-y,-z'
loop_
_atom_site_label
_atom_site_type_symbol
_atom_site_fract_x
_atom_site_fract_y
_atom_site_fract_z
K1 K 0.0000 0.0000 0.0000
Te1 Te 0.3333 0.6667 0.5000
P1 P 0.6667 0.3333 0.5000
O1 O 0.3984 0.0330 0.6689
```


(8)
This record from Alexandria describes a geometry-optimized KTeP2O structure. The functional is PBE.

Properties
Energy relative to the elements, uncorrected: 247 meV/atom
ΔE to the lowest computed polymorph: 0.000 eV per atom

Structure (CIF):
```
data_KTeP2O
_chemical_formula_sum 'K1 Te1 P2 O1'
_cell_length_a 5.3801
_cell_length_b 5.3801
_cell_length_c 4.1881
_cell_angle_alpha 90.00
_cell_angle_beta 90.00
_cell_angle_gamma 90.00
_space_group_name_H-M_alt 'P 4/m m m'
_space_group_IT_number 123
_space_group_name_Hall '-P 4 2'
loop_
_atom_site_label
_atom_site_type_symbol
_atom_site_fract_x
_atom_site_fract_y
_atom_site_fract_z
K1 K 0.0000 0.0000 0.0000
Te1 Te 0.5000 0.5000 0.5000
P1 P 0.0000 0.5000 0.5000
O1 O 0.5000 0.5000 0.0000
```


(9)
This record from Alexandria describes a geometry-optimized KThPO5 structure. The functional is PBE.

Properties
Energy relative to the elements, uncorrected: -2850 meV/atom

Structure (CIF):
```
data_KThPO5
_chemical_formula_sum 'K4 Th4 P4 O20'
_cell_length_a 7.4776
_cell_length_b 9.7331
_cell_length_c 8.1916
_cell_angle_alpha 90.00
_cell_angle_beta 114.73
_cell_angle_gamma 90.00
_space_group_name_H-M_alt 'C 1 2/c 1'
_space_group_IT_number 15
loop_
_space_group_symop_operation_xyz
'x,y,z'
'-x,-y,-z'
'-x,y,-z+1/2'
'x,-y,z+1/2'
'x+1/2,y+1/2,z'
'-x+1/2,-y+1/2,-z'
'-x+1/2,y+1/2,-z+1/2'
'x+1/2,-y+1/2,z+1/2'
loop_
_atom_site_label
_atom_site_type_symbol
_atom_site_fract_x
_atom_site_fract_y
_atom_site_fract_z
K1 K 0.0000 0.1625 0.2500
Th1 Th 0.0000 0.5000 0.0000
P1 P 0.0000 0.1819 0.7500
O1 O 0.0000 0.4247 0.2500
O2 O 0.0785 0.2751 0.6384
O3 O 0.1678 0.0869 0.8789
```


(10)
This record from Alexandria describes a geometry-optimized KThP2O8 structure. The functional is PBE.

Properties
Energy relative to the elements, uncorrected: -2534 meV/atom

Structure (CIF):
```
data_KThP2O8
_chemical_formula_sum 'K1 Th1 P2 O8'
_cell_length_a 5.6292
_cell_length_b 5.6292
_cell_length_c 7.9292
_cell_angle_alpha 90.00
_cell_angle_beta 90.00
_cell_angle_gamma 120.00
_space_group_name_H-M_alt 'P -3'
_space_group_IT_number 147
loop_
_space_group_symop_operation_xyz
'x,y,z'
'-x,-y,-z'
'-y,x-y,z'
'y,-x+y,-z'
'-x+y,-x,z'
'x-y,x,-z'
loop_
_atom_site_label
_atom_site_type_symbol
_atom_site_fract_x
_atom_site_fract_y
_atom_site_fract_z
K1 K 0.0000 0.0000 0.0000
Th1 Th 0.0000 0.0000 0.5000
P1 P 0.3333 0.6667 0.7496
O1 O 0.1781 0.3679 0.6808
O2 O 0.3333 0.6667 0.9429
```


(11)
This record from Alexandria describes a geometry-optimized KThP3O10 structure. The functional is PBE.

Properties
Energy relative to the elements, uncorrected: -2617 meV/atom

Structure (CIF):
```
data_KThP3O10
_chemical_formula_sum 'K4 Th4 P12 O40'
_cell_length_a 8.3281
_cell_length_b 10.1379
_cell_length_c 10.3868
_cell_angle_alpha 90.00
_cell_angle_beta 90.00
_cell_angle_gamma 90.00
_space_group_name_H-M_alt 'P 21 21 21'
_space_group_IT_number 19
loop_
_space_group_symop_operation_xyz
'x,y,z'
'-x+1/2,-y,z+1/2'
'x+1/2,-y+1/2,-z'
'-x,y+1/2,-z+1/2'
loop_
_atom_site_label
_atom_site_type_symbol
_atom_site_fract_x
_atom_site_fract_y
_atom_site_fract_z
K1 K 0.1555 0.0128 0.0763
Th1 Th 0.1106 0.4971 0.0976
P1 P 0.0251 0.6207 0.7612
P2 P 0.1983 0.2708 0.3736
P3 P 0.2286 0.7474 0.3637
O1 O 0.0080 0.5342 0.8792
O2 O 0.0958 0.5572 0.6422
O3 O 0.1014 0.3682 0.2922
O4 O 0.1229 0.8623 0.4058
O5 O 0.1287 0.1323 0.3789
O6 O 0.1302 0.7497 0.7978
O7 O 0.1466 0.1813 0.7626
O8 O 0.1468 0.6416 0.2839
O9 O 0.1749 0.3043 0.9778
O10 O 0.2406 0.3265 0.5063
```


(12)
This record from Alexandria describes a geometry-optimized KTiP2O8 structure. The functional is PBE.

Properties
Energy relative to the elements, uncorrected: -2300 meV/atom

Structure (CIF):
```
data_KTiP2O8
_chemical_formula_sum 'K3 Ti3 P6 O24'
_cell_length_a 5.0555
_cell_length_b 5.0555
_cell_length_c 24.4263
_cell_angle_alpha 90.00
_cell_angle_beta 90.00
_cell_angle_gamma 120.00
_space_group_name_H-M_alt 'R -3'
_space_group_IT_number 148
_space_group_name_Hall '-R 3'
loop_
_atom_site_label
_atom_site_type_symbol
_atom_site_fract_x
_atom_site_fract_y
_atom_site_fract_z
K1 K 0.0000 0.0000 0.0000
Ti1 Ti 0.0000 0.0000 0.5000
P1 P 0.0000 0.0000 0.2349
O1 O 0.0000 0.0000 0.2973
O2 O 0.0155 0.4217 0.8798
```


(13)
This record from Alexandria describes a geometry-optimized KTi2P3O12 structure. The functional is PBE.

Properties
Energy relative to the elements, uncorrected: -2555 meV/atom
ΔE to the lowest computed polymorph: 0.013 eV per atom

Structure (CIF):
```
data_KTi2P3O12
_chemical_formula_sum 'K4 Ti8 P12 O48'
_cell_length_a 9.9408
_cell_length_b 9.9408
_cell_length_c 9.9408
_cell_angle_alpha 90.00
_cell_angle_beta 90.00
_cell_angle_gamma 90.00
_space_group_name_H-M_alt 'P 21 3'
_space_group_IT_number 198
_space_group_name_Hall 'P 2ac 2ab 3'
loop_
_atom_site_label
_atom_site_type_symbol
_atom_site_fract_x
_atom_site_fract_y
_atom_site_fract_z
K1 K 0.0759 0.0759 0.0759
Ti1 Ti 0.0875 0.9125 0.4125
Ti2 Ti 0.1387 0.3613 0.6387
P1 P 0.0452 0.7266 0.1253
O1 O 0.0029 0.0802 0.3541
O2 O 0.0193 0.9605 0.8009
O3 O 0.0258 0.8030 0.2600
O4 O 0.0828 0.1944 0.7295
```